Entry from Alexandria: a relaxed structure of TlPb7Au4 (PBE-GGA).

Lattice parameters (Å, degrees): 13.950 5.943 9.580 90.00 122.79 90.00
Space group C2/m (No. 12)
One atom of each set of equivalent atoms:
1 Tl 0.000 0.000 0.000 (multiplicity 2)
2 Pb 0.000 0.500 0.000 (multiplicity 2)
3 Pb 0.054 0.000 0.383 (multiplicity 4)
4 Pb 0.207 0.500 0.656 (multiplicity 4)
5 Pb 0.229 0.000 0.912 (multiplicity 4)
6 Au 0.013 0.500 0.694 (multiplicity 4)
7 Au 0.209 0.500 0.341 (multiplicity 4)

## Properties
ΔE_f   0.03 eV/atom

Entry from Alexandria: a relaxed structure of La2Ho2Er3 (PBE-GGA).

Lattice parameters (Å, degrees): 6.499 6.595 10.852 91.65 90.05 90.10
Space group P-1 (No. 2)
One atom of each set of equivalent atoms:
1 La 0.045 0.441 0.354 (multiplicity 2)
2 La 0.046 0.060 0.145 (multiplicity 2)
3 Ho 0.326 0.249 0.749 (multiplicity 2)
4 Ho 0.449 0.749 0.750 (multiplicity 2)
5 Er 0.251 0.544 0.046 (multiplicity 2)
6 Er 0.251 0.956 0.453 (multiplicity 2)
7 Er 0.500 0.000 0.000 (multiplicity 1)
8 Er 0.500 0.500 0.500 (multiplicity 1)

## Properties
Relative energy among the computed polymorphs   0 meV/atom
ΔE_f   0.18 eV/atom

Please write out number 1 again, unchanged.
Entry from Alexandria: a relaxed structure of TlPb7Au4 (PBE-GGA).

Lattice parameters (Å, degrees): 13.950 5.943 9.580 90.00 122.79 90.00
Space group C2/m (No. 12)
One atom of each set of equivalent atoms:
1 Tl 0.000 0.000 0.000 (multiplicity 2)
2 Pb 0.000 0.500 0.000 (multiplicity 2)
3 Pb 0.054 0.000 0.383 (multiplicity 4)
4 Pb 0.207 0.500 0.656 (multiplicity 4)
5 Pb 0.229 0.000 0.912 (multiplicity 4)
6 Au 0.013 0.500 0.694 (multiplicity 4)
7 Au 0.209 0.500 0.341 (multiplicity 4)

## Properties
ΔE_f   0.03 eV/atom

Q: ΔE_f of number 2 (La2Ho2Er3)?
A: 0.18 eV/atom

Repeat the first record exactly.
Entry from Alexandria: a relaxed structure of TlPb7Au4 (PBE-GGA).

Lattice parameters (Å, degrees): 13.950 5.943 9.580 90.00 122.79 90.00
Space group C2/m (No. 12)
One atom of each set of equivalent atoms:
1 Tl 0.000 0.000 0.000 (multiplicity 2)
2 Pb 0.000 0.500 0.000 (multiplicity 2)
3 Pb 0.054 0.000 0.383 (multiplicity 4)
4 Pb 0.207 0.500 0.656 (multiplicity 4)
5 Pb 0.229 0.000 0.912 (multiplicity 4)
6 Au 0.013 0.500 0.694 (multiplicity 4)
7 Au 0.209 0.500 0.341 (multiplicity 4)

## Properties
ΔE_f   0.03 eV/atom